# 1
{"formula": "SrTlSn6", "functional": "PBE", "state": "optimized geometry", "e_form_ev_per_fu": -1.417, "space_group": "No. 191", "total_energy_ev_per_cell": -29.5, "cell": [[6.384, 0.000, 0.000], [-3.192, 5.529, 0.000], [0.000, 0.000, 6.532]], "species": ["Sr", "Tl", "Sn", "Sn", "Sn", "Sn", "Sn", "Sn"], "fractional_positions": [[0.000, 0.000, 0.000], [0.000, 0.000, 0.500], [0.000, 0.500, 0.254], [0.000, 0.500, 0.746], [0.500, 0.000, 0.254], [0.500, 0.000, 0.746], [0.500, 0.500, 0.254], [0.500, 0.500, 0.746]]}

# 2
{"formula": "Sc3TlAs4O12", "functional": "PBE", "state": "optimized geometry", "space_group": "No. 155", "total_energy_ev_per_cell": -133.8, "cell": [[5.517, 3.185, 2.838], [-5.517, 3.185, 2.838], [0.000, -6.371, 2.838]], "species": ["Sc", "Sc", "Sc", "Tl", "As", "As", "As", "As", "O", "O", "O", "O", "O", "O", "O", "O", "O", "O", "O", "O"], "fractional_positions": [[0.000, 0.573, 0.427], [0.427, 0.000, 0.573], [0.573, 0.427, 0.000], [0.000, 0.000, 0.000], [0.086, 0.500, 0.914], [0.500, 0.500, 0.500], [0.500, 0.914, 0.086], [0.914, 0.086, 0.500], [0.026, 0.275, 0.391], [0.074, 0.926, 0.500], [0.275, 0.391, 0.026], [0.322, 0.678, 0.500], [0.391, 0.026, 0.275], [0.500, 0.074, 0.926], [0.500, 0.322, 0.678], [0.609, 0.725, 0.974], [0.678, 0.500, 0.322], [0.725, 0.974, 0.609], [0.926, 0.500, 0.074], [0.974, 0.609, 0.725]]}

# 3
{"formula": "TbCeGaCu", "functional": "PBE", "state": "optimized geometry", "e_form_ev_per_fu": -1.212, "space_group": "No. 216", "total_energy_ev_per_cell": -18.9, "cell": [[0.000, 3.579, 3.579], [3.579, 0.000, 3.579], [3.579, 3.579, 0.000]], "species": ["Tb", "Ce", "Ga", "Cu"], "fractional_positions": [[0.000, 0.000, 0.000], [0.500, 0.500, 0.500], [0.250, 0.250, 0.250], [0.750, 0.750, 0.750]]}

# 4
{"formula": "PaRhS4", "functional": "PBE", "state": "optimized geometry", "space_group": "No. 14", "total_energy_ev_per_cell": -78.0, "cell": [[6.359, 0.000, 0.000], [0.000, 6.180, 0.000], [-0.831, 0.000, 6.169]], "species": ["Pa", "Pa", "Rh", "Rh", "S", "S", "S", "S", "S", "S", "S", "S"], "fractional_positions": [[0.000, 0.000, 0.000], [0.000, 0.500, 0.500], [0.500, 0.000, 0.500], [0.500, 0.500, 0.000], [0.186, 0.163, 0.375], [0.186, 0.337, 0.875], [0.321, 0.711, 0.263], [0.321, 0.789, 0.763], [0.679, 0.211, 0.237], [0.679, 0.289, 0.737], [0.814, 0.663, 0.125], [0.814, 0.837, 0.625]]}

# 5
{"formula": "CrPd2Au", "functional": "PBE", "state": "optimized geometry", "e_form_ev_per_fu": 0.169, "space_group": "No. 160", "total_energy_ev_per_cell": -23.1, "cell": [[1.429, 0.825, 8.926], [-1.429, 0.825, 8.926], [0.000, -1.650, 8.926]], "species": ["Cr", "Pd", "Pd", "Au"], "fractional_positions": [[0.000, 0.000, 0.000], [0.409, 0.409, 0.409], [0.591, 0.591, 0.591], [0.167, 0.167, 0.167]]}

# 6
{"formula": "Be4AgP", "functional": "PBE", "state": "optimized geometry", "e_form_ev_per_fu": 1.984, "space_group": "No. 216", "total_energy_ev_per_cell": -21.2, "cell": [[0.000, 3.211, 3.211], [3.211, 0.000, 3.211], [3.211, 3.211, 0.000]], "species": ["Be", "Be", "Be", "Be", "Ag", "P"], "fractional_positions": [[0.125, 0.125, 0.125], [0.125, 0.125, 0.626], [0.125, 0.626, 0.125], [0.626, 0.125, 0.125], [0.500, 0.500, 0.500], [0.750, 0.750, 0.750]]}

Which formula does entry 5 have? CrPd2Au